(1)
VASP calculation (PBE) on crystalline SiSnSeO at its relaxed geometry.

Unit cell a=2.8638 b=6.3134 c=6.9269 alpha=112.69 beta=91.30 gamma=90.03
Atoms (fractional coordinates):
O 0.8377 0.5240 0.2936
Si 0.3299 0.4385 0.1545
Se 0.3157 0.5852 0.8901
Sn 0.3121 0.0228 0.8450

Computed properties:
Final energy (hartree per atom): -0.193
N(E_F) (states/eV/f.u.): 0.98
E above lowest polymorph (eV per atom): 0.029
Uncorrected formation energy (meV/atom): -787
Space group: No. 1



(2)
VASP calculation (PBE) on crystalline SiSnSeO at its relaxed geometry.

Unit cell a=5.5156 b=3.5696 c=9.4914 alpha=90.00 beta=94.22 gamma=90.00
Atoms (fractional coordinates):
Se 0.6326 0.0000 0.8087
Se 0.6326 0.5000 0.3087
O 0.1970 0.0000 0.1513
Sn 0.0104 0.0000 0.5337
Sn 0.0104 0.5000 0.0337
Si 0.3432 0.5000 0.8127
O 0.1970 0.5000 0.6513
Si 0.3432 0.0000 0.3127

Computed properties:
Final energy (hartree per atom): -0.193
N(E_F) (states/eV/f.u.): 0.04
E above lowest polymorph (eV per atom): 0.024
Uncorrected formation energy (meV/atom): -791
Space group: No. 8



(3)
VASP calculation (PBE) on crystalline SiSnSeO at its relaxed geometry.

Unit cell a=3.4828 b=4.9343 c=5.7279 alpha=99.25 beta=105.02 gamma=92.78
Atoms (fractional coordinates):
Si 0.3116 0.6091 0.6717
O 0.3390 0.3094 0.7515
Se 0.6867 0.6262 0.3838
Sn 0.2749 0.0680 0.0098

Computed properties:
Final energy (hartree per atom): -0.192
N(E_F) (states/eV/f.u.): 0.94
E above lowest polymorph (eV per atom): 0.052
Uncorrected formation energy (meV/atom): -763
Space group: No. 1



(4)
VASP calculation (PBE) on crystalline SiSnSeO at its relaxed geometry.

Unit cell a=5.7224 b=2.9076 c=6.1353 alpha=90.00 beta=107.34 gamma=90.00
Atoms (fractional coordinates):
Si 0.2899 0.5000 0.4012
O 0.2970 0.0000 0.5495
Sn 0.8832 0.5000 0.0267
Se 0.7132 0.5000 0.4099

Computed properties:
Final energy (hartree per atom): -0.194
N(E_F) (states/eV/f.u.): 0.59
E above lowest polymorph (eV per atom): 0.006
Uncorrected formation energy (meV/atom): -810
Space group: No. 6



(5)
VASP calculation (PBE) on crystalline SiSnSeO at its relaxed geometry.

Unit cell a=3.5038 b=4.8668 c=6.5203 alpha=81.87 beta=74.90 gamma=69.05
Atoms (fractional coordinates):
Se 0.2679 0.2272 0.6950
Si 0.8688 0.2632 0.4500
Sn 0.7726 0.7425 0.1527
O 0.0902 0.9504 0.3151

Computed properties:
Final energy (hartree per atom): -0.193
N(E_F) (states/eV/f.u.): 0.01
E above lowest polymorph (eV per atom): 0.042
Uncorrected formation energy (meV/atom): -774
Space group: No. 1



(6)
VASP calculation (PBE) on crystalline SiSnSeO at its relaxed geometry.

Unit cell a=5.7256 b=2.9127 c=11.3766 alpha=90.00 beta=93.61 gamma=90.00
Atoms (fractional coordinates):
O 0.3445 0.5000 0.2215
Se 0.8943 0.0000 0.2932
Sn 0.6307 0.5000 0.9920
Sn 0.6307 0.0000 0.4920
Se 0.8943 0.5000 0.7932
Si 0.3138 0.5000 0.7997
Si 0.3138 0.0000 0.2997
O 0.3445 0.0000 0.7215

Computed properties:
Final energy (hartree per atom): -0.194
N(E_F) (states/eV/f.u.): 0.43
E above lowest polymorph (eV per atom): 0.000
Uncorrected formation energy (meV/atom): -816
Space group: No. 8



(7)
VASP calculation (PBE) on crystalline SrSiSe2O8 at its relaxed geometry.

Unit cell a=5.0453 b=5.2803 c=7.2680 alpha=69.66 beta=69.69 gamma=61.46
Each line ends with the local moment (μB).
Atoms (fractional coordinates):
Si 0.0000 0.0000 0.0000  -0.01
O 0.7917 0.1022 0.8065  0.14
O 0.2083 0.8978 0.1935  0.14
O 0.2996 0.1022 0.8065  0.14
O 0.2069 0.6564 0.9299  0.47
O 0.1709 0.2600 0.3982  0.04
O 0.7004 0.8978 0.1935  0.14
O 0.7931 0.3436 0.0701  0.47
Sr 0.5000 0.5000 0.5000  0.00
Se 0.3199 0.1922 0.1680  0.09
Se 0.6801 0.8078 0.8320  0.09
O 0.8291 0.7400 0.6018  0.04

Computed properties:
Final energy (hartree per atom): -0.213
N(E_F) (states/eV/f.u.): 2.06
Uncorrected formation energy (meV/atom): -1319
Space group: No. 12



(8)
VASP calculation (PBE) on crystalline Tb2SiSeO4 at its relaxed geometry.

Unit cell a=6.0858 b=7.0181 c=10.8886 alpha=90.00 beta=90.00 gamma=90.00
Atoms (fractional coordinates):
Se 0.4279 0.3717 0.2500
Tb 0.3906 0.7500 0.5000
Tb 0.6094 0.2500 0.0000
Se 0.5721 0.8717 0.2500
Si 0.1144 0.2500 0.0000
Si 0.8856 0.7500 0.5000
O 0.0515 0.7392 0.6202
O 0.2768 0.0694 0.4683
Tb 0.6094 0.2500 0.5000
Tb 0.8668 0.9705 0.7500
Tb 0.8668 0.5295 0.2500
Se 0.5721 0.6283 0.7500
Tb 0.3906 0.7500 0.0000
Tb 0.1332 0.0295 0.2500
O 0.9485 0.2392 0.6202
O 0.2768 0.4306 0.5317
O 0.7232 0.9306 0.5317
Si 0.8856 0.7500 0.0000
O 0.2768 0.0694 0.0317
O 0.7232 0.9306 0.9683
O 0.2768 0.4306 0.9683
Si 0.1144 0.2500 0.5000
O 0.0515 0.7608 0.1202
O 0.0515 0.7392 0.8798
Tb 0.1332 0.4705 0.7500
O 0.9485 0.2608 0.1202
Se 0.4279 0.1283 0.7500
O 0.7232 0.5694 0.0317
O 0.9485 0.2392 0.8798
O 0.0515 0.7608 0.3798
O 0.9485 0.2608 0.3798
O 0.7232 0.5694 0.4683

Computed properties:
Final energy (hartree per atom): -0.285
N(E_F) (states/eV/f.u.): 0.00
Uncorrected formation energy (meV/atom): -3004
Space group: No. 57